# 1
Computed, not measured: a relaxed BeZnTe crystal at the PBE-GGA level of DFT.

a b c (Å): 4.0263 4.1158 4.7049
angles (deg): 90.00 112.45 90.00
Closest atoms and distances in Å follow each position.
Atoms (fractional coordinates):
Be 0.0000 0.0000 0.0000  2 Zn 2.37, 2 Te 2.40
Zn 0.1299 0.5000 0.2681  2 Be 2.37
Te 0.3658 0.0000 0.7001  2 Be 2.40

Results
* space group: Pm (6)
* E_form (uncorrected): 0.20 eV per atom
* ΔE to the lowest computed polymorph: 0.1505 eV per atom

---

# 2
Computed, not measured: a relaxed YNbCr2Cd crystal at the PBE-GGA level of DFT.

a b c (Å): 4.9691 4.9691 5.2575
angles (deg): 90.00 90.00 90.00
Closest atoms and distances in Å follow each position.
Atoms (fractional coordinates):
Y 0.0000 0.0000 0.0000  4 Nb 3.51, 8 Cr 3.62
Nb 0.5000 0.5000 0.0000  2 Cd 2.63
Cr 0.0000 0.5000 0.5000  2 Cd 2.48
Cr 0.5000 0.0000 0.5000  2 Cd 2.48
Cd 0.5000 0.5000 0.5000  4 Cr 2.48, 2 Nb 2.63

Results
* E_form: 6.6 eV/f.u.
* space group: P4/mmm (123)

---

# 3
Computed, not measured: a relaxed Ni2HgGe crystal at the PBE-GGA level of DFT.

a b c (Å): 5.5309 5.5309 5.5309
angles (deg): 104.42 104.42 120.13
Closest atoms and distances in Å follow each position.
Atoms (fractional coordinates):
Ni 0.0855 0.6250 0.9605  2 Ge 2.32
Ni 0.3750 0.3355 0.4605  2 Ge 2.32
Ni 0.6645 0.1250 0.0395  2 Ge 2.32
Ni 0.8750 0.9145 0.5395  2 Ge 2.32
Hg 0.2500 0.7500 0.5000  4 Ni 2.68, 2 Ge 2.76
Hg 0.5000 0.5000 0.0000  4 Ni 2.68, 2 Ge 2.76
Ge 0.0000 0.0000 0.0000  4 Ni 2.32
Ge 0.7500 0.2500 0.5000  4 Ni 2.32

Results
* E_form: 0.8 eV/f.u.
* space group: I-42d (122)
* ΔE to the lowest computed polymorph: 0.2933 eV per atom

---

# 4
Computed, not measured: a relaxed Ac3AlGe3 crystal at the PBE-GGA level of DFT.

a b c (Å): 9.1949 9.1949 6.5088
angles (deg): 90.00 90.00 120.00
Closest atoms and distances in Å follow each position.
Atoms (fractional coordinates):
Ac 0.0688 0.3696 0.2500  5 Ge 3.14-3.26
Ac 0.3008 0.9312 0.2500  5 Ge 3.14-3.26
Ac 0.3696 0.3008 0.7500  5 Ge 3.14-3.26
Ac 0.6304 0.6992 0.2500  5 Ge 3.14-3.26
Ac 0.6992 0.0688 0.7500  5 Ge 3.14-3.26
Ac 0.9312 0.6304 0.7500  5 Ge 3.14-3.26
Al 0.3333 0.6667 0.7500  3 Ge 2.54
Al 0.6667 0.3333 0.2500  3 Ge 2.54
Ge 0.0734 0.3775 0.7500  1 Al 2.54
Ge 0.3041 0.9266 0.7500  1 Al 2.54
Ge 0.3775 0.3041 0.2500  1 Al 2.54
Ge 0.6225 0.6959 0.7500  1 Al 2.54
Ge 0.6959 0.0734 0.2500  1 Al 2.54
Ge 0.9266 0.6225 0.2500  1 Al 2.54

Results
* E_form: -3.9 eV/f.u.
* space group: P6_3/m (176)
* ΔE to the lowest computed polymorph: 0.0890 eV per atom

---

# 5
Computed, not measured: a relaxed GdAg2Ge crystal at the PBE-GGA level of DFT.

a b c (Å): 10.7739 10.7739 10.7739
angles (deg): 16.46 16.46 16.46
Closest atoms and distances in Å follow each position.
Atoms (fractional coordinates):
Gd 0.0000 0.0000 0.0000  2 Ag 2.98, 6 Gd 3.08
Ag 0.0934 0.0934 0.0934  3 Ge 2.94, 1 Gd 2.98, 6 Ag 3.08
Ag 0.9066 0.9066 0.9066  3 Ge 2.94, 1 Gd 2.98, 6 Ag 3.08
Ge 0.5000 0.5000 0.5000  6 Ag 2.94, 6 Ge 3.08

Results
* E_form: 1.2 eV/f.u.
* space group: R-3m (166)

---

# 6
Computed, not measured: a relaxed CsLaTa3 crystal at the PBE-GGA level of DFT.

a b c (Å): 5.1520 5.1520 5.1520
angles (deg): 90.00 90.00 90.00
Closest atoms and distances in Å follow each position.
Atoms (fractional coordinates):
Cs 0.0000 0.0000 0.0000  6 Ta 2.58
La 0.5000 0.5000 0.5000  12 Ta 3.64
Ta 0.0000 0.0000 0.5000  2 Cs 2.58
Ta 0.0000 0.5000 0.0000  2 Cs 2.58
Ta 0.5000 0.0000 0.0000  2 Cs 2.58

Results
* E_form: 12.7 eV/f.u.
* space group: Pm-3m (221)
* ΔE to the lowest computed polymorph: 0.0502 eV per atom

---

# 7
Computed, not measured: a relaxed RbTl crystal at the PBE-GGA level of DFT.

a b c (Å): 5.8693 5.8693 5.8693
angles (deg): 60.00 60.00 60.00
Closest atoms and distances in Å follow each position.
Atoms (fractional coordinates):
Rb 0.0000 0.0000 0.0000  4 Tl 3.59
Tl 0.7500 0.7500 0.7500  4 Rb 3.59

Results
* E_form: 0.9 eV/f.u.
* space group: F-43m (216)
* ΔE to the lowest computed polymorph: 0.5139 eV per atom

---

# 8
Computed, not measured: a relaxed KRb14O crystal at the PBE-GGA level of DFT.

a b c (Å): 12.2563 10.4373 10.4373
angles (deg): 83.33 90.00 90.00
Closest atoms and distances in Å follow each position.
Atoms (fractional coordinates):
K 0.0000 0.0000 0.0000  1 O 2.52
Rb 0.0000 0.6031 0.9714  1 O 2.68
Rb 0.0000 0.9714 0.6031  1 O 2.68
Rb 0.2046 0.2737 0.2737  10 Rb 4.94-5.35, 1 K 4.95
Rb 0.2196 0.3181 0.7579  4 Rb 4.60-5.13, 1 K 4.76
Rb 0.2196 0.7579 0.3181  4 Rb 4.60-5.13, 1 K 4.76
Rb 0.2221 0.8138 0.8138  1 O 2.75
Rb 0.5000 0.0449 0.0449  12 Rb 4.96-5.33
Rb 0.5000 0.0509 0.5332  12 Rb 4.94-5.33
Rb 0.5000 0.5332 0.0509  12 Rb 4.94-5.33
Rb 0.5000 0.5486 0.5486  4 Rb 4.60
Rb 0.7779 0.8138 0.8138  1 O 2.75
Rb 0.7804 0.3181 0.7579  4 Rb 4.60-5.13, 1 K 4.76
Rb 0.7804 0.7579 0.3181  4 Rb 4.60-5.13, 1 K 4.76
Rb 0.7954 0.2737 0.2737  10 Rb 4.94-5.35, 1 K 4.95
O 0.0000 0.8386 0.8386  1 K 2.52, 4 Rb 2.68-2.75

Results
* space group: Amm2 (38)
* E_form (uncorrected): -0.16 eV per atom